# 1
A plane-wave DFT calculation with GGA-PBE was carried out for an optimized crystal structure of NdDyBr2N.

Computed properties:
space-group type = P3m1, No. 156
E_tot = -5.8899 eV/atom
calculated density = 6.26 g cm⁻³

Unit cell a=3.7238 b=3.7238 c=10.6103 alpha=90.00 beta=90.00 gamma=120.00
Atoms (fractional coordinates):
Nd (0.0000, 0.0000, 0.0000)
Dy (0.3333, 0.6667, 0.2508)
Br (0.0000, 0.0000, 0.4326)
Br (0.3333, 0.6667, 0.8071)
N (0.6667, 0.3333, 0.1396)

---

# 2
A plane-wave DFT calculation with GGA-PBE was carried out for an optimized crystal structure of Nb4GaAsN2.

Computed properties:
space-group type = P-6m2, No. 187
E_tot = -8.7669 eV/atom
calculated density = 7.84 g cm⁻³

Unit cell a=3.2512 b=3.2512 c=12.5973 alpha=90.00 beta=90.00 gamma=120.00
Atoms (fractional coordinates):
Nb (0.0000, 0.0000, 0.1526)
Nb (0.0000, 0.0000, 0.8474)
Nb (0.6667, 0.3333, 0.3322)
Nb (0.6667, 0.3333, 0.6678)
Ga (0.0000, 0.0000, 0.5000)
As (0.6667, 0.3333, 0.0000)
N (0.3333, 0.6667, 0.2445)
N (0.3333, 0.6667, 0.7555)

---

# 3
A plane-wave DFT calculation with GGA-PBE was carried out for an optimized crystal structure of Dy2Er2GeI5.

Computed properties:
space-group type = C2/m, No. 12
E_tot = -4.2197 eV/atom
calculated density = 6.67 g cm⁻³

Unit cell a=9.7510 b=9.7510 c=8.7492 alpha=102.49 beta=102.49 gamma=24.81
Atoms (fractional coordinates):
Dy (0.1468, 0.1468, 0.0743)
Dy (0.8532, 0.8532, 0.9257)
Er (0.5004, 0.5004, 0.2100)
Er (0.4996, 0.4996, 0.7900)
Ge (0.0000, 0.0000, 0.0000)
I (0.0000, 0.0000, 0.5000)
I (0.3293, 0.3293, 0.1728)
I (0.3342, 0.3342, 0.6618)
I (0.6658, 0.6658, 0.3382)
I (0.6707, 0.6707, 0.8272)

---

# 4
A plane-wave DFT calculation with GGA-PBE was carried out for an optimized crystal structure of CsGaPt.

Computed properties:
space-group type = F-43m, No. 216
energy above the most stable polymorph in this dataset = 1.35 eV per formula unit
E_tot = -2.4552 eV/atom
calculated density = 6.22 g cm⁻³

Unit cell a=5.3137 b=5.3137 c=5.3137 alpha=60.00 beta=60.00 gamma=60.00
Atoms (fractional coordinates):
Cs (0.0000, 0.0000, 0.0000)
Ga (0.7500, 0.7500, 0.7500)
Pt (0.2500, 0.2500, 0.2500)

---

# 5
A plane-wave DFT calculation with GGA-PBE was carried out for an optimized crystal structure of Ho3Sc3Sb2Os.

Computed properties:
space-group type = P-62m, No. 189
energy above the most stable polymorph in this dataset = 0.00 eV per formula unit
E_tot = -6.5436 eV/atom
calculated density = 8.02 g cm⁻³

Unit cell a=7.8047 b=7.8047 c=4.1759 alpha=90.00 beta=90.00 gamma=120.00
Atoms (fractional coordinates):
Ho (0.0000, 0.6071, 0.0000)
Ho (0.3929, 0.3929, 0.0000)
Ho (0.6071, 0.0000, 0.0000)
Sc (0.0000, 0.2278, 0.5000)
Sc (0.2278, 0.0000, 0.5000)
Sc (0.7722, 0.7722, 0.5000)
Sb (0.3333, 0.6667, 0.5000)
Sb (0.6667, 0.3333, 0.5000)
Os (0.0000, 0.0000, 0.0000)

---

# 6
A plane-wave DFT calculation with GGA-PBE was carried out for an optimized crystal structure of LaSm2IrO6.

Computed properties:
space-group type = P2_1/c, No. 14
energy above the most stable polymorph in this dataset = 0.00 eV per formula unit
E_tot = -7.8665 eV/atom
calculated density = 8.73 g cm⁻³

Unit cell a=5.7234 b=6.0074 c=9.5475 alpha=90.00 beta=122.47 gamma=90.00
Atoms (fractional coordinates):
La (0.0000, 0.0000, 0.0000)
La (0.0000, 0.5000, 0.5000)
Sm (0.2850, 0.0682, 0.7530)
Sm (0.2850, 0.4318, 0.2530)
Sm (0.7150, 0.5682, 0.7470)
Sm (0.7150, 0.9318, 0.2470)
Ir (0.5000, 0.0000, 0.5000)
Ir (0.5000, 0.5000, 0.0000)
O (0.1183, 0.0749, 0.2783)
O (0.1183, 0.4251, 0.7783)
O (0.2730, 0.6885, 0.0671)
O (0.2730, 0.8115, 0.5671)
O (0.4045, 0.2016, 0.0714)
O (0.4045, 0.2984, 0.5714)
O (0.5955, 0.7016, 0.4286)
O (0.5955, 0.7984, 0.9286)
O (0.7270, 0.1885, 0.4329)
O (0.7270, 0.3115, 0.9329)
O (0.8817, 0.5749, 0.2217)
O (0.8817, 0.9251, 0.7217)